First-principles (PBE) data for Mg7Ru after structural relaxation, as listed in Alexandria.

Values from the calculation:
The space-group type is Fm-3m (225). The crystal system is cubic. The electronic total energy comes out at -2.495 eV/atom. The value obtained for the calculated formation energy is 60 meV per atom. For the density of states at the Fermi level, the calculation gives 0.651 states/eV per atom.

Cell and atoms, written as POSCAR:
```
Mg7Ru
1.0
0.000 4.296 4.296
4.296 0.000 4.296
4.296 4.296 0.000
Mg Ru
7 1
Cartesian
2.148 2.148 0.000 Mg
0.000 2.148 2.148 Mg
4.296 4.296 4.296 Mg
2.148 4.296 2.148 Mg
2.148 0.000 2.148 Mg
2.148 2.148 4.296 Mg
4.296 2.148 2.148 Mg
0.000 0.000 0.000 Ru
```